1.
Computed, not measured: MnTe3P after structural relaxation at the PBE level of DFT.

raw formation energy: 1202 meV per atom

a b c (Å): 5.1481 5.1481 5.1481
angles (deg): 90.00 90.00 90.00
Closest atoms and distances in Å follow each position.
Space group Pm-3m (No. 221)
Inequivalent atoms, fractional coordinates:
Mn: 0.0000 0.0000 0.0000 (multiplicity 1)  12 Te 3.64
Te: 0.0000 0.5000 0.5000 (multiplicity 3)  2 P 2.57
P: 0.5000 0.5000 0.5000 (multiplicity 1)  6 Te 2.57

2.
Computed, not measured: ZnFe3Sn2S8 after structural relaxation at the PBE level of DFT.

raw formation energy: -376 meV per atom

a b c (Å): 7.1109 7.2247 10.1408
angles (deg): 90.00 90.00 90.00
Closest atoms and distances in Å follow each position.
Space group Imm2 (No. 44)
Inequivalent atoms, fractional coordinates:
Zn: 0.0000 0.0000 0.0000 (multiplicity 2)  4 S 2.38-2.41
Fe: 0.0000 0.5000 0.2629 (multiplicity 2)  4 S 2.28-2.39
Fe: 0.2498 0.0000 0.3846 (multiplicity 4)  6 S 2.29-2.36
Sn: 0.0000 0.2489 0.6325 (multiplicity 4)  6 S 2.56-2.60
S: 0.0000 0.2140 0.3811 (multiplicity 4)  3 Fe 2.36-2.39, 1 Sn 2.56
S: 0.0000 0.2909 0.8837 (multiplicity 4)  2 Fe 2.33, 1 Zn 2.41, 1 Sn 2.57
S: 0.2373 0.5000 0.1110 (multiplicity 4)  2 Fe 2.28-2.30
S: 0.2464 0.0000 0.1586 (multiplicity 4)  1 Fe 2.29, 1 Zn 2.38

3.
Computed, not measured: Ca3VGa after structural relaxation at the PBE level of DFT.

energy of formation from the pure elements: 0.6940 eV/atom

a b c (Å): 5.7174 5.7174 5.7174
angles (deg): 90.00 90.00 90.00
Closest atoms and distances in Å follow each position.
Space group Pm-3m (No. 221)
Inequivalent atoms, fractional coordinates:
Ca: 0.0000 0.0000 0.5000 (multiplicity 3)  2 V 2.86
V: 0.0000 0.0000 0.0000 (multiplicity 1)  6 Ca 2.86
Ga: 0.5000 0.5000 0.5000 (multiplicity 1)  12 Ca 4.04

4.
Computed, not measured: NdCo after structural relaxation at the PBE level of DFT.

energy of formation from the pure elements: -0.1051 eV/atom

a b c (Å): 3.9663 3.9663 21.4449
angles (deg): 90.00 90.00 120.00
Closest atoms and distances in Å follow each position.
Space group R-3m (No. 166, hexagonal axes)
Inequivalent atoms, fractional coordinates:
Nd: 0.0000 0.0000 0.0874 (multiplicity 6)  6 Co 2.95-2.97
Co: 0.0000 0.0000 0.3329 (multiplicity 6)  3 Co 2.29